<1>
DFT (PBE) results for crystalline Nd4Hg3 at its relaxed geometry.

Unit cell a=9.1608 b=9.1608 c=9.1608 alpha=34.12 beta=34.12 gamma=34.12
Last column: nearest neighbours and their distance in Å.
Fractional coordinates of all 7 atoms:
Nd (0.1204, 0.1204, 0.1204)  7 Hg 3.24-3.33
Nd (0.3723, 0.3723, 0.3723)  5 Hg 3.18-3.32
Nd (0.6277, 0.6277, 0.6277)  5 Hg 3.18-3.32
Nd (0.8796, 0.8796, 0.8796)  7 Hg 3.24-3.33
Hg (0.2493, 0.2493, 0.2493)  8 Nd 3.18-3.33
Hg (0.5000, 0.5000, 0.5000)  8 Nd 3.30-3.33
Hg (0.7507, 0.7507, 0.7507)  8 Nd 3.18-3.33

Summary:
Crystal system   trigonal
Density   9.1 Mg/m³



<2>
DFT (PBE) results for crystalline Nd4Hg3 at its relaxed geometry.

Unit cell a=8.6858 b=8.6858 c=8.6858 alpha=113.76 beta=113.76 gamma=113.76
Last column: nearest neighbours and their distance in Å.
Fractional coordinates of all 14 atoms:
Nd (0.0000, 0.0000, 0.0000)  8 Nd 3.31-3.51, 6 Hg 3.69
Nd (0.0761, 0.7761, 0.6285)  7 Hg 3.26-3.42, 1 Nd 3.51
Nd (0.2239, 0.3715, 0.9239)  7 Hg 3.26-3.42, 1 Nd 3.51
Nd (0.3715, 0.9239, 0.2239)  7 Hg 3.26-3.42, 1 Nd 3.51
Nd (0.5000, 0.5000, 0.5000)  6 Hg 3.27, 2 Nd 3.31
Nd (0.6285, 0.0761, 0.7761)  7 Hg 3.26-3.42, 1 Nd 3.51
Nd (0.7761, 0.6285, 0.0761)  7 Hg 3.26-3.42, 1 Nd 3.51
Nd (0.9239, 0.2239, 0.3715)  7 Hg 3.26-3.42, 1 Nd 3.51
Hg (0.1362, 0.5446, 0.2679)  8 Nd 3.26-3.42
Hg (0.2679, 0.1362, 0.5446)  8 Nd 3.26-3.42
Hg (0.4554, 0.7321, 0.8638)  8 Nd 3.26-3.42
Hg (0.5446, 0.2679, 0.1362)  8 Nd 3.26-3.42
Hg (0.7321, 0.8638, 0.4554)  8 Nd 3.26-3.42
Hg (0.8638, 0.4554, 0.7321)  8 Nd 3.26-3.42

Summary:
Crystal system   trigonal
Density   9.7 Mg/m³



On energetic grounds, <2> is preferred over the next structure by 0.052 eV/atom.



<1>
DFT (PBE) results for crystalline Nd2NiHg at its relaxed geometry.

Unit cell a=8.0375 b=8.0375 c=8.0375 alpha=29.55 beta=29.55 gamma=29.55
Last column: nearest neighbours and their distance in Å.
Fractional coordinates of all 4 atoms:
Nd (0.0000, 0.0000, 0.0000)  3 Ni 2.84
Nd (0.2004, 0.2004, 0.2004)  3 Ni 2.80
Ni (0.5986, 0.5986, 0.5986)  6 Nd 2.80-2.84
Hg (0.4337, 0.4337, 0.4337)  6 Nd 3.30-3.31

Summary:
Crystal system   trigonal
Density   8.1 Mg/m³



<2>
DFT (PBE) results for crystalline Nd2NiHg at its relaxed geometry.

Unit cell a=3.5861 b=3.5861 c=7.7091 alpha=90.00 beta=90.00 gamma=90.00
Last column: nearest neighbours and their distance in Å.
Fractional coordinates of all 4 atoms:
Nd (0.0000, 0.0000, 0.2181)  4 Ni 3.04, 4 Hg 3.34, 1 Nd 3.36
Nd (0.0000, 0.0000, 0.7819)  4 Ni 3.04, 4 Hg 3.34, 1 Nd 3.36
Ni (0.5000, 0.5000, 0.0000)  8 Nd 3.04
Hg (0.5000, 0.5000, 0.5000)  8 Nd 3.34, 4 Hg 3.59

Summary:
Crystal system   tetragonal
Density   9.2 Mg/m³



<3>
DFT (PBE) results for crystalline Nd2NiHg at its relaxed geometry.

Unit cell a=6.0696 b=6.0696 c=6.0696 alpha=139.82 beta=130.62 gamma=65.48
Last column: nearest neighbours and their distance in Å.
Fractional coordinates of all 4 atoms:
Nd (0.1712, 0.1712, 0.0000)  2 Ni 2.72
Nd (0.8288, 0.8288, 0.0000)  2 Ni 2.72
Ni (0.0000, 0.5000, 0.5000)  2 Hg 2.54, 4 Nd 2.72
Hg (0.5000, 0.5000, 0.0000)  2 Ni 2.54

Summary:
Crystal system   orthorhombic
Density   8.4 Mg/m³



<4>
DFT (PBE) results for crystalline Nd2NiHg at its relaxed geometry.

Unit cell a=8.3033 b=8.3033 c=8.3033 alpha=27.92 beta=27.92 gamma=27.92
Last column: nearest neighbours and their distance in Å.
Fractional coordinates of all 4 atoms:
Nd (0.2338, 0.2338, 0.2338)  3 Ni 2.82
Nd (0.7662, 0.7662, 0.7662)  3 Ni 2.82
Ni (0.5000, 0.5000, 0.5000)  6 Nd 2.82
Hg (0.0000, 0.0000, 0.0000)  6 Nd 3.32

Summary:
Crystal system   trigonal
Density   8.2 Mg/m³



On energetic grounds, <2> is preferred over the next structure by 0.059 eV/atom.